1.
# Mn2CuAu

A relaxed Mn2CuAu crystal (GGA-PBE, Alexandria via LeMat-Bulk).

POSCAR file:
```
Mn2CuAu
1.0
0.0000 3.0899 3.0899
3.0899 0.0000 3.0899
3.0899 3.0899 0.0000
Mn Cu Au
2 1 1
direct
0.0000 0.0000 0.0000
0.2500 0.2500 0.2500
0.5000 0.5000 0.5000
0.7500 0.7500 0.7500
```

Values from the calculation:
The formation energy comes out at 0.15 eV per atom. Its density of states at the Fermi level is 1.494 states/eV per cell.

2.
# MnCu2Au

A relaxed MnCu2Au crystal (GGA-PBE, Alexandria via LeMat-Bulk).

POSCAR file:
```
MnCu2Au
1.0
3.0936 0.0000 0.0000
0.0000 3.2069 0.0000
0.0000 0.0000 5.7181
Mn Cu Au
1 2 1
direct
0.0000 0.0000 0.0000
0.5000 0.5000 0.2337
0.5000 0.5000 0.7663
0.0000 0.0000 0.5000
```

Values from the calculation:
The formation energy comes out at 0.04 eV per atom. Its density of states at the Fermi level is 1.917 states/eV per cell.

3.
# MnCu2Au

A relaxed MnCu2Au crystal (GGA-PBE, Alexandria via LeMat-Bulk).

POSCAR file:
```
MnCu2Au
1.0
0.0000 3.0558 3.0558
3.0558 0.0000 3.0558
3.0558 3.0558 0.0000
Mn Cu Au
1 2 1
direct
0.0000 0.0000 0.0000
0.2500 0.2500 0.2500
0.5000 0.5000 0.5000
0.7500 0.7500 0.7500
```

Values from the calculation:
The formation energy comes out at 0.04 eV per atom. Its density of states at the Fermi level is 1.299 states/eV per cell.